This record from the Alexandria database describes a relaxed RbScI2O crystal. The functional is GGA-PBE.

abc: 6.215 6.215 3.970
angles: 90.00 90.00 90.00
Atoms (fractional coordinates):
Rb (0.500, 0.500, 0.500)
Sc (0.000, 0.000, 0.000)
I (0.000, 0.500, 0.000)
I (0.500, 0.000, 0.000)
O (0.000, 0.000, 0.500)

Calculated values
The spin magnetization is 0.00 μB per formula unit. The excess energy over the best structure of this formula in the dataset is 0.0000 eV per atom. The density comes out at 4.3 Mg/m³.

This record from the Alexandria database describes a relaxed ScCr3Cl crystal. The functional is GGA-PBE.

abc: 5.145 5.145 5.145
angles: 90.00 90.00 90.00
Site moments in Bohr magnetons follow the coordinates.
Atoms (fractional coordinates):
Sc (0.000, 0.000, 0.000)  0.03
Cr (0.500, 0.000, 0.000)  3.96
Cr (0.000, 0.500, 0.000)  3.70
Cl (0.500, 0.500, 0.500)  0.11
Cr (0.000, 0.000, 0.500)  3.51

Calculated values
The spin magnetization is 13.05 μB per formula unit. The excess energy over the best structure of this formula in the dataset is 1.1339 eV per atom. The density comes out at 2.9 Mg/m³.

This record from the Alexandria database describes a relaxed Hf2Be9Rh crystal. The functional is GGA-PBE.

abc: 4.549 4.549 7.662
angles: 72.73 72.73 60.00
Atoms (fractional coordinates):
Be (0.576, 0.576, 0.765)
Be (0.666, 0.666, 0.003)
Hf (0.143, 0.143, 0.571)
Be (0.424, 0.424, 0.235)
Be (0.082, 0.576, 0.765)
Be (0.424, 0.918, 0.235)
Be (0.918, 0.424, 0.235)
Be (0.500, 0.500, 0.500)
Be (0.334, 0.334, 0.997)
Hf (0.857, 0.857, 0.429)
Be (0.576, 0.082, 0.765)
Rh (0.000, 0.000, 0.000)

Calculated values
The spin magnetization is 0.00 μB per formula unit. The density comes out at 7.0 Mg/m³. The formation energy comes out at -0.13 eV/atom.

This record from the Alexandria database describes a relaxed BaAsNF2 crystal. The functional is GGA-PBE.

abc: 4.599 4.599 3.977
angles: 90.00 90.00 90.00
Atoms (fractional coordinates):
F (0.000, 0.500, 0.000)
As (0.000, 0.000, 0.000)
F (0.500, 0.000, 0.000)
Ba (0.500, 0.500, 0.500)
N (0.000, 0.000, 0.500)

Calculated values
The spin magnetization is 0.00 μB per formula unit. The excess energy over the best structure of this formula in the dataset is 0.0000 eV per atom. The density comes out at 5.2 Mg/m³.

This record from the Alexandria database describes a relaxed YPuO6 crystal. The functional is GGA-PBE.

abc: 5.565 5.466 5.363
angles: 72.26 81.13 45.70
Atoms (fractional coordinates):
Y (0.000, 0.000, 0.000)
O (0.476, 0.369, 0.218)
O (0.167, 0.274, 0.726)
O (0.198, 0.052, 0.308)
O (0.802, 0.948, 0.692)
Pu (0.500, 0.000, 0.500)
O (0.524, 0.631, 0.782)
O (0.833, 0.726, 0.274)

Calculated values
The spin magnetization is 0.03 μB per formula unit. The density comes out at 6.4 Mg/m³. The total energy is -8.423 eV per atom.

This record from the Alexandria database describes a relaxed Mo2PbBr crystal. The functional is GGA-PBE.

abc: 4.657 4.657 7.387
angles: 82.68 82.68 40.84
Atoms (fractional coordinates):
Mo (0.282, 0.282, 0.163)
Mo (0.986, 0.986, 0.068)
Pb (0.519, 0.519, 0.413)
Br (0.712, 0.712, 0.856)

Calculated values
The spin magnetization is 0.00 μB per formula unit. The excess energy over the best structure of this formula in the dataset is 0.3568 eV per atom. The density comes out at 7.7 Mg/m³.